Run 1
The following is a PBE calculation of a relaxed BiTeSeN2 crystal, from Alexandria via LeMat-Bulk.

## Properties
The value obtained for the mass density is 6.4 g/cm³.

extended XYZ file:
```
5
Lattice="4.355 0.000 0.000 0.000 4.355 0.000 0.000 0.000 6.103" Properties=species:S:1:pos:R:3 pbc="T T T"
Bi 0.000 0.000 0.000
Te 2.178 2.178 3.052
Se 0.000 0.000 3.052
N 0.000 2.178 0.000
N 2.178 0.000 0.000
```

Run 2
The following is a PBE calculation of a relaxed BiTeSeN2 crystal, from Alexandria via LeMat-Bulk.

## Properties
The value obtained for the mass density is 7.5 g/cm³.

extended XYZ file:
```
5
Lattice="4.248 0.000 0.000 0.000 4.248 0.000 0.000 0.000 5.466" Properties=species:S:1:pos:R:3 pbc="T T T"
Bi 0.000 0.000 0.000
Te 2.124 2.124 0.000
Se 2.124 2.124 2.733
N 0.000 2.124 2.733
N 2.124 0.000 2.733
```

Most stable structure, least stable structure: run 1, run 2.

Run 1
The following is a PBE calculation of a relaxed BiTeSe2N crystal, from Alexandria via LeMat-Bulk.

## Properties
The value obtained for the mass density is 7.0 g/cm³.

extended XYZ file:
```
5
Lattice="5.498 0.000 0.000 0.000 5.498 0.000 0.000 0.000 3.969" Properties=species:S:1:pos:R:3 pbc="T T T"
Bi 0.000 0.000 0.000
Te 2.749 2.749 1.985
Se 0.000 2.749 1.985
Se 2.749 0.000 1.985
N 2.749 2.749 0.000
```

Run 2
The following is a PBE calculation of a relaxed BiTeSe2N crystal, from Alexandria via LeMat-Bulk.

## Properties
The value obtained for the mass density is 6.5 g/cm³.

extended XYZ file:
```
5
Lattice="5.579 0.000 0.000 0.000 5.579 0.000 0.000 0.000 4.170" Properties=species:S:1:pos:R:3 pbc="T T T"
Bi 0.000 0.000 0.000
Te 2.790 2.790 2.085
Se 0.000 2.790 0.000
Se 2.790 0.000 0.000
N 0.000 0.000 2.085
```

Most stable structure, least stable structure: run 1, run 2.

Run 1
The following is a PBE calculation of a relaxed YBiSeN2 crystal, from Alexandria via LeMat-Bulk.

## Properties
The value obtained for the mass density is 6.2 g/cm³.

extended XYZ file:
```
5
Lattice="4.391 0.000 0.000 0.000 4.391 0.000 0.000 0.000 5.651" Properties=species:S:1:pos:R:3 pbc="T T T"
Y 0.000 0.000 0.000
Bi 2.195 2.195 2.825
Se 0.000 0.000 2.825
N 0.000 2.195 0.000
N 2.195 0.000 0.000
```

Run 2
The following is a PBE calculation of a relaxed YBiSeN2 crystal, from Alexandria via LeMat-Bulk.

## Properties
The value obtained for the mass density is 6.6 g/cm³.

extended XYZ file:
```
5
Lattice="4.312 0.000 0.000 0.000 4.312 0.000 0.000 0.000 5.489" Properties=species:S:1:pos:R:3 pbc="T T T"
Y 0.000 0.000 0.000
Bi 2.156 2.156 2.744
Se 2.156 2.156 0.000
N 0.000 2.156 2.744
N 2.156 0.000 2.744
```

Most stable structure, least stable structure: run 1, run 2.

Run 1
The following is a PBE calculation of a relaxed ZrBiSe2N crystal, from Alexandria via LeMat-Bulk.

## Properties
The value obtained for the mass density is 4.7 g/cm³.

extended XYZ file:
```
5
Lattice="5.373 0.000 0.000 0.000 5.373 0.000 0.000 0.000 5.735" Properties=species:S:1:pos:R:3 pbc="T T T"
Zr 0.000 0.000 0.000
Bi 0.000 0.000 2.867
Se 0.000 2.686 2.867
Se 2.686 0.000 2.867
N 2.686 2.686 0.000
```

Run 2
The following is a PBE calculation of a relaxed ZrBiSe2N crystal, from Alexandria via LeMat-Bulk.

## Properties
The value obtained for the mass density is 6.4 g/cm³.

extended XYZ file:
```
5
Lattice="5.443 0.000 0.000 0.000 5.443 0.000 0.000 0.000 4.142" Properties=species:S:1:pos:R:3 pbc="T T T"
Zr 0.000 0.000 0.000
Bi 2.721 2.721 2.071
Se 0.000 2.721 2.071
Se 2.721 0.000 2.071
N 2.721 2.721 0.000
```

Most stable structure, least stable structure: run 2, run 1.

Run 1
The following is a PBE calculation of a relaxed SiBiN2 crystal, from Alexandria via LeMat-Bulk.

## Properties
The value obtained for the mass density is 8.4 g/cm³.

extended XYZ file:
```
4
Lattice="0.000 2.972 2.972 2.972 0.000 2.972 2.972 2.972 0.000" Properties=species:S:1:pos:R:3 pbc="T T T"
Si 0.000 0.000 0.000
Bi 2.972 2.972 2.972
N 1.486 1.486 1.486
N 4.458 4.458 4.458
```

Run 2
The following is a PBE calculation of a relaxed SiBiN2 crystal, from Alexandria via LeMat-Bulk.

## Properties
The value obtained for the mass density is 7.9 g/cm³.

extended XYZ file:
```
8
Lattice="-2.586 2.586 4.167 2.586 -2.586 4.167 2.586 2.586 -4.167" Properties=species:S:1:pos:R:3 pbc="T T T"
Si 0.000 0.000 0.000
Si 0.000 2.586 2.083
Bi 2.586 0.000 2.083
Bi 0.000 0.000 4.167
N 0.570 1.293 1.042
N -1.293 2.016 3.125
N -0.570 3.878 1.042
N 1.293 3.156 3.125
```

Run 3
The following is a PBE calculation of a relaxed SiBiN2 crystal, from Alexandria via LeMat-Bulk.

## Properties
The value obtained for the mass density is 8.4 g/cm³.

extended XYZ file:
```
4
Lattice="1.522 0.879 6.526 -1.522 0.879 6.526 0.000 -1.757 6.526" Properties=species:S:1:pos:R:3 pbc="T T T"
Si 0.000 0.000 0.000
Bi 0.000 0.000 9.789
N 0.000 0.000 7.432
N 0.000 0.000 12.146
```

Most stable structure, least stable structure: run 2, run 1.

Run 1
The following is a PBE calculation of a relaxed SiBi2N crystal, from Alexandria via LeMat-Bulk.

## Properties
The value obtained for the mass density is 7.2 g/cm³.

extended XYZ file:
```
8
Lattice="-2.871 2.871 6.428 2.871 -2.871 6.428 2.871 2.871 -6.428" Properties=species:S:1:pos:R:3 pbc="T T T"
Si 0.000 0.000 0.000
Si 0.000 2.871 3.214
Bi 1.436 -1.071 4.821
Bi 1.800 1.436 1.607
Bi 1.436 3.943 -1.607
Bi 1.071 1.436 8.034
N 2.871 0.000 3.214
N 0.000 0.000 6.428
```

Run 2
The following is a PBE calculation of a relaxed SiBi2N crystal, from Alexandria via LeMat-Bulk.

## Properties
The value obtained for the mass density is 9.4 g/cm³.

extended XYZ file:
```
4
Lattice="0.000 3.432 3.432 3.432 0.000 3.432 3.432 3.432 0.000" Properties=species:S:1:pos:R:3 pbc="T T T"
Si 0.000 0.000 0.000
Bi 1.716 1.716 1.716
Bi 5.148 5.148 5.148
N 3.432 3.432 3.432
```

Most stable structure, least stable structure: run 1, run 2.

Run 1
The following is a PBE calculation of a relaxed Sm4Bi2N crystal, from Alexandria via LeMat-Bulk.

## Properties
The value obtained for the mass density is 9.0 g/cm³.

extended XYZ file:
```
7
Lattice="6.291 -1.959 0.000 6.291 1.959 0.000 -3.544 0.000 7.757" Properties=species:S:1:pos:R:3 pbc="T T T"
Sm -0.452 0.000 2.426
Sm 1.169 0.000 7.375
Sm 7.868 0.000 0.381
Sm 9.489 0.000 5.330
Bi 3.094 0.000 2.526
Bi 5.944 0.000 5.230
N 0.000 0.000 0.000
```

Run 2
The following is a PBE calculation of a relaxed Sm4Bi2N crystal, from Alexandria via LeMat-Bulk.

## Properties
The value obtained for the mass density is 8.8 g/cm³.

extended XYZ file:
```
7
Lattice="-2.415 2.415 8.313 2.415 -2.415 8.313 2.415 2.415 -8.313" Properties=species:S:1:pos:R:3 pbc="T T T"
Sm 2.415 0.000 0.000
Sm 0.000 0.000 2.641
Sm 0.000 2.415 0.000
Sm 0.000 0.000 13.984
Bi 0.000 0.000 5.909
Bi 0.000 0.000 10.717
N 0.000 0.000 0.000
```

Most stable structure, least stable structure: run 2, run 1.

Run 1
The following is a PBE calculation of a relaxed Sm2BiN crystal, from Alexandria via LeMat-Bulk.

## Properties
The value obtained for the mass density is 8.6 g/cm³.

extended XYZ file:
```
8
Lattice="4.678 0.000 0.000 0.000 4.678 0.000 0.000 0.000 9.290" Properties=species:S:1:pos:R:3 pbc="T T T"
Sm 1.170 1.170 1.657
Sm 1.170 3.509 4.645
Sm 3.509 1.170 4.645
Sm 3.509 3.509 7.634
Bi 1.170 1.170 7.516
Bi 3.509 3.509 1.774
N 1.170 1.170 3.908
N 3.509 3.509 5.382
```

Run 2
The following is a PBE calculation of a relaxed Sm2BiN crystal, from Alexandria via LeMat-Bulk.

## Properties
The value obtained for the mass density is 8.7 g/cm³.

extended XYZ file:
```
16
Lattice="8.900 0.000 0.000 0.000 6.412 0.000 -0.103 0.000 6.971" Properties=species:S:1:pos:R:3 pbc="T T T"
Sm 0.682 1.201 2.543
Sm 0.631 2.006 6.029
Sm 2.508 4.480 4.008
Sm 2.559 5.138 0.522
Sm 6.238 1.274 6.449
Sm 6.290 1.932 2.964
Sm 8.167 4.407 0.943
Sm 8.115 5.212 4.429
Bi 3.363 1.266 4.541
Bi 3.415 1.941 1.056
Bi 5.383 4.472 5.916
Bi 5.434 5.147 2.430
N 0.856 4.371 5.938
N 0.907 5.247 2.452
N 7.890 1.165 4.519
N 7.942 2.041 1.034
```

Most stable structure, least stable structure: run 1, run 2.

Run 1
The following is a PBE calculation of a relaxed Sm2BiN crystal, from Alexandria via LeMat-Bulk.

## Properties
The value obtained for the mass density is 9.4 g/cm³.

extended XYZ file:
```
4
Lattice="1.839 1.062 7.909 -1.839 1.062 7.909 0.000 -2.124 7.909" Properties=species:S:1:pos:R:3 pbc="T T T"
Sm 0.000 0.000 5.283
Sm 0.000 0.000 18.444
Bi 0.000 0.000 0.000
N 0.000 0.000 11.863
```

Run 2
The following is a PBE calculation of a relaxed Sm2BiN crystal, from Alexandria via LeMat-Bulk.

## Properties
The value obtained for the mass density is 10.2 g/cm³.

extended XYZ file:
```
4
Lattice="3.269 0.000 0.000 0.000 3.269 0.000 0.000 0.000 8.005" Properties=species:S:1:pos:R:3 pbc="T T T"
Sm 0.000 0.000 1.467
Sm 0.000 0.000 6.538
Bi 1.635 1.635 4.003
N 1.635 1.635 0.000
```

Most stable structure, least stable structure: run 1, run 2.

Run 1
The following is a PBE calculation of a relaxed SmBiN crystal, from Alexandria via LeMat-Bulk.

## Properties
The value obtained for the mass density is 8.3 g/cm³.

extended XYZ file:
```
6
Lattice="8.834 0.000 0.000 0.000 2.877 2.953 0.000 -2.877 2.953" Properties=species:S:1:pos:R:3 pbc="T T T"
Sm 1.158 -1.438 2.953
Sm 7.676 1.438 2.953
Bi 4.417 0.000 1.544
Bi 4.417 0.000 4.497
N 0.955 1.438 2.318
N 7.879 -1.438 2.318
```

Run 2
The following is a PBE calculation of a relaxed SmBiN crystal, from Alexandria via LeMat-Bulk.

## Properties
The value obtained for the mass density is 8.5 g/cm³.

extended XYZ file:
```
6
Lattice="4.264 0.000 0.000 0.000 4.264 0.000 0.000 0.000 8.025" Properties=species:S:1:pos:R:3 pbc="T T T"
Sm 1.066 1.066 0.952
Sm 3.198 3.198 7.073
Bi 1.066 1.066 4.641
Bi 3.198 3.198 3.383
N 1.066 3.198 0.000
N 3.198 1.066 0.000
```

Most stable structure, least stable structure: run 2, run 1.

Run 1
The following is a PBE calculation of a relaxed SnBi3N crystal, from Alexandria via LeMat-Bulk.

## Properties
The value obtained for the mass density is 9.9 g/cm³.

extended XYZ file:
```
5
Lattice="5.029 0.000 0.000 0.000 5.029 0.000 0.000 0.000 5.029" Properties=species:S:1:pos:R:3 pbc="T T T"
Sn 0.000 0.000 0.000
Bi 0.000 2.514 2.514
Bi 2.514 0.000 2.514
Bi 2.514 2.514 0.000
N 2.514 2.514 2.514
```

Run 2
The following is a PBE calculation of a relaxed SnBi3N crystal, from Alexandria via LeMat-Bulk.

## Properties
The value obtained for the mass density is 8.9 g/cm³.

extended XYZ file:
```
10
Lattice="6.009 0.000 0.000 -1.495 6.021 0.000 -2.100 -2.562 7.820" Properties=species:S:1:pos:R:3 pbc="T T T"
Sn -0.282 1.720 2.839
Sn 2.696 1.739 4.981
Bi -0.911 4.641 0.965
Bi 0.547 -0.691 4.634
Bi -0.350 1.595 6.847
Bi 2.764 1.864 0.973
Bi 1.867 4.150 3.187
Bi 3.324 -1.182 6.855
N 0.608 0.917 0.998
N 1.806 2.542 6.823
```

Most stable structure, least stable structure: run 2, run 1.

Run 1
The following is a PBE calculation of a relaxed SnBi2N crystal, from Alexandria via LeMat-Bulk.

## Properties
The value obtained for the mass density is 9.7 g/cm³.

extended XYZ file:
```
4
Lattice="0.000 3.608 3.608 3.608 0.000 3.608 3.608 3.608 0.000" Properties=species:S:1:pos:R:3 pbc="T T T"
Sn 0.000 0.000 0.000
Bi 1.804 1.804 1.804
Bi 5.412 5.412 5.412
N 3.608 3.608 3.608
```

Run 2
The following is a PBE calculation of a relaxed SnBi2N crystal, from Alexandria via LeMat-Bulk.

## Properties
The value obtained for the mass density is 7.7 g/cm³.

extended XYZ file:
```
8
Lattice="-3.003 3.003 6.583 3.003 -3.003 6.583 3.003 3.003 -6.583" Properties=species:S:1:pos:R:3 pbc="T T T"
Sn 0.000 0.000 0.000
Sn 0.000 3.003 3.292
Bi 1.502 -0.911 4.938
Bi 2.092 1.502 1.646
Bi 1.502 3.914 -1.646
Bi 0.911 1.502 8.229
N 3.003 0.000 3.292
N 0.000 0.000 6.583
```

Most stable structure, least stable structure: run 2, run 1.

Run 1
The following is a PBE calculation of a relaxed SnBiTeN2 crystal, from Alexandria via LeMat-Bulk.

## Properties
The value obtained for the mass density is 6.4 g/cm³.

extended XYZ file:
```
5
Lattice="4.482 0.000 0.000 0.000 4.482 0.000 0.000 0.000 6.260" Properties=species:S:1:pos:R:3 pbc="T T T"
Sn 0.000 0.000 0.000
Bi 2.241 2.241 3.130
Te 2.241 2.241 0.000
N 0.000 2.241 3.130
N 2.241 0.000 3.130
```

Run 2
The following is a PBE calculation of a relaxed SnBiTeN2 crystal, from Alexandria via LeMat-Bulk.

## Properties
The value obtained for the mass density is 7.3 g/cm³.

extended XYZ file:
```
5
Lattice="4.328 0.000 0.000 0.000 4.328 0.000 0.000 0.000 5.862" Properties=species:S:1:pos:R:3 pbc="T T T"
Sn 0.000 0.000 0.000
Bi 2.164 2.164 2.931
Te 0.000 0.000 2.931
N 0.000 2.164 0.000
N 2.164 0.000 0.000
```

Most stable structure, least stable structure: run 2, run 1.